Here is a relaxed structure of Sr2Li3SmSb4 from Alexandria via LeMat-Bulk. Energies are from PBE-GGA.

a = 4.845 Å, b = 4.845 Å, c = 11.933 Å
α = 90.00°, β = 90.00°, γ = 90.00°
Sites, in units of the cell vectors:
Sr 0.500 0.000 0.217
Sr 0.000 0.500 0.783
Sb 0.500 0.500 0.000
Sb 0.500 0.000 0.654
Sb 0.000 0.000 0.000
Sb 0.000 0.500 0.346
Sm 0.500 0.500 0.500
Li 0.000 0.500 0.118
Li 0.000 0.000 0.500
Li 0.500 0.000 0.882

Properties
N(E_F) = 3.0 states/eV per cell
crystal system = tetragonal
uncorrected energy = -38.208 eV/cell
raw formation energy = -0.79 eV/atom
spin magnetization = 0.000 μB per atom
space-group type = P-4m2, No. 115